1.
The following is a PBE-GGA calculation of a geometry-optimized Ce4NdSe6 structure, from the Alexandria database.

E_tot (eV per cell): -135.5
SG: R-3c

a = 8.409 Å, b = 8.409 Å, c = 8.409 Å
α = 90.87°, β = 90.87°, γ = 90.87°
Atoms (fractional coordinates):
Ce (0.136, 0.750, 0.364)
Ce (0.250, 0.250, 0.250)
Ce (0.250, 0.636, 0.864)
Ce (0.364, 0.136, 0.750)
Ce (0.636, 0.864, 0.250)
Ce (0.750, 0.364, 0.136)
Ce (0.750, 0.750, 0.750)
Ce (0.864, 0.250, 0.636)
Nd (0.000, 0.000, 0.000)
Nd (0.500, 0.500, 0.500)
Se (0.061, 0.911, 0.676)
Se (0.089, 0.324, 0.939)
Se (0.176, 0.411, 0.561)
Se (0.324, 0.939, 0.089)
Se (0.411, 0.561, 0.176)
Se (0.439, 0.824, 0.589)
Se (0.561, 0.176, 0.411)
Se (0.589, 0.439, 0.824)
Se (0.676, 0.061, 0.911)
Se (0.824, 0.589, 0.439)
Se (0.911, 0.676, 0.061)
Se (0.939, 0.089, 0.324)



2.
The following is a PBE-GGA calculation of a geometry-optimized La3Tb3In structure, from the Alexandria database.

SG: P6_3/m
Formation energy (kJ per mole of atoms): -12

a = 9.574 Å, b = 9.574 Å, c = 5.717 Å
α = 90.00°, β = 90.00°, γ = 120.00°
Atoms (fractional coordinates):
La (0.107, 0.631, 0.250)
La (0.369, 0.476, 0.250)
La (0.476, 0.107, 0.750)
La (0.524, 0.893, 0.250)
La (0.631, 0.524, 0.750)
La (0.893, 0.369, 0.750)
Tb (0.059, 0.822, 0.750)
Tb (0.178, 0.237, 0.750)
Tb (0.237, 0.059, 0.250)
Tb (0.763, 0.941, 0.750)
Tb (0.822, 0.763, 0.250)
Tb (0.941, 0.178, 0.250)
In (0.333, 0.667, 0.750)
In (0.667, 0.333, 0.250)



3.
The following is a PBE-GGA calculation of a geometry-optimized AcSmInPd structure, from the Alexandria database.

SG: F-43m
Formation energy (kJ per mole of atoms): -47

a = 5.452 Å, b = 5.452 Å, c = 5.452 Å
α = 60.00°, β = 60.00°, γ = 60.00°
Atoms (fractional coordinates):
Ac (0.000, 0.000, 0.000)
Sm (0.500, 0.500, 0.500)
In (0.250, 0.250, 0.250)
Pd (0.750, 0.750, 0.750)



4.
The following is a PBE-GGA calculation of a geometry-optimized TcPt5 structure, from the Alexandria database.

Energy relative to the lowest polymorph listed for this composition (meV/atom): 41
SG: Cmmm
Formation energy (kJ per mole of atoms): -7

a = 6.284 Å, b = 6.284 Å, c = 3.947 Å
α = 90.00°, β = 90.00°, γ = 143.52°
Atoms (fractional coordinates):
Tc (0.000, 0.000, 0.000)
Pt (0.164, 0.836, 0.500)
Pt (0.339, 0.661, 0.000)
Pt (0.500, 0.500, 0.500)
Pt (0.661, 0.339, 0.000)
Pt (0.836, 0.164, 0.500)